# K2YTe

K2YTe after structural relaxation (GGA-PBE, the Alexandria database).

```
K2YTe
1.0
12.131 0.015 0.009
11.367 4.238 0.009
11.367 2.057 3.705
K Te Y
2 1 1
Direct
0.009 0.009 0.009
0.226 0.226 0.226
0.491 0.491 0.491
0.774 0.774 0.774
```

- ΔE_f (raw) (kcal/mol of atoms) = -10.5
- space-group type = R3m (160)

---

# MgAu

MgAu after structural relaxation (GGA-PBE, the Alexandria database).

```
MgAu
1.0
-4.856 0.517 -1.991
-0.812 -2.541 -4.549
2.000 -1.291 4.705
Mg Au
2 2
Direct
0.875 0.125 0.250
0.125 0.875 0.750
0.375 0.625 0.250
0.625 0.375 0.750
```

- ΔE_f (eV per atom) = -0.552
- space-group type = I4_1/amd (141)

---

# CdIn2Br

CdIn2Br after structural relaxation (GGA-PBE, the Alexandria database).

```
CdIn2Br
1.0
5.984 -0.020 0.000
2.063 5.617 0.000
-4.023 -2.799 3.433
Cd Br In
1 1 2
Direct
0.750 0.250 0.500
0.250 0.750 0.500
0.000 0.000 0.000
0.500 0.500 0.000
```

- ΔE_f (raw) (kcal/mol of atoms) = -3.2
- space-group type = I4/mmm (139)
- energy relative to the lowest polymorph listed for this composition (eV/atom) = 0.070